1.
VASP calculation (GGA-PBE) on an optimized crystal structure of Tb3Sc.

The value obtained for the density of states at the Fermi level is 1.782 states/eV/atom. Its offset from the most stable computed form is 9.5 meV/atom. The value obtained for the energy of formation from the pure elements is 0.12 eV/f.u.

The structure belongs to space group Imm2 (No. 44); the cell edges are 3.5650, 11.0982 and 6.1378 Å and the angles 90.00°, 90.00° and 90.00°. The inequivalent atoms are Tb at (0.0000, 0.0000, 0.0000), Tb at (0.0000, 0.2443, 0.6597) and Sc at (0.0000, 0.5000, 0.9935).

=====

2.
VASP calculation (GGA-PBE) on an optimized crystal structure of Pd2PbSe2.

The value obtained for the density of states at the Fermi level is 0.500 states/eV/atom. Its offset from the most stable computed form is 6.4 meV/atom. The formation energy (no corrections) comes out at -0.1798 eV per atom.

The structure belongs to space group I4/mmm (No. 139); the cell edges are 4.9718, 4.9718 and 8.9861 Å and the angles 90.00°, 90.00° and 90.00°. The inequivalent atoms are Pd at (0.0000, 0.0000, 0.1650), Pb at (0.0000, 0.0000, 0.5000) and Se at (0.0000, 0.5000, 0.2500).

=====

3.
VASP calculation (GGA-PBE) on an optimized crystal structure of ReTeRu2.

The value obtained for the density of states at the Fermi level is 1.088 states/eV/atom. The formation energy (no corrections) comes out at 0.5119 eV per atom.

The structure belongs to space group I-4m2 (No. 119); the cell edges are 4.0144, 4.0144 and 7.7794 Å and the angles 90.00°, 90.00° and 90.00°. The inequivalent atoms are Re at (0.0000, 0.0000, 0.0000), Te at (0.0000, 0.5000, 0.2500), Ru at (0.0000, 0.0000, 0.5000) and Ru at (0.0000, 0.5000, 0.7500).

=====

4.
VASP calculation (GGA-PBE) on an optimized crystal structure of K2MnZnH6.

The value obtained for the density of states at the Fermi level is 0.159 states/eV/atom. Its total energy is -3.2886 eV per atom.

The structure belongs to space group Fmmm (No. 69); the cell edges are 7.7700, 7.7738 and 7.7869 Å and the angles 90.00°, 90.00° and 90.00°. The inequivalent atoms are K at (0.2500, 0.2500, 0.2500), Mn at (0.0000, 0.0000, 0.0000), Zn at (0.0000, 0.0000, 0.5000), H at (0.0000, 0.0000, 0.2478), H at (0.0000, 0.2486, 0.5000) and H at (0.2498, 0.0000, 0.0000).